No. 1
Compound: NdTh4Hg5
Source: the Alexandria database
Functional: PBE
Structure: optimized geometry Values from VASP.

Structure (Quantum ESPRESSO input):
```
&SYSTEM
  ibrav = 0, nat = 10, ntyp = 3
/
ATOMIC_SPECIES
Nd 144.24 Nd.upf
Th 232.04 Th.upf
Hg 200.59 Hg.upf
CELL_PARAMETERS angstrom
3.814 0.000 0.000
0.000 3.814 0.000
0.000 0.000 19.317
ATOMIC_POSITIONS angstrom
Nd 0.000 0.000 0.000
Th 0.000 0.000 3.871
Th 0.000 0.000 7.727
Th 0.000 0.000 11.591
Th 0.000 0.000 15.447
Hg 1.907 1.907 1.894
Hg 1.907 1.907 5.790
Hg 1.907 1.907 9.659
Hg 1.907 1.907 13.527
Hg 1.907 1.907 17.423
```

Symmetry: P4/mmm, No. 123
Calculated formation energy (eV per atom): -0.247

No. 2
Compound: Cs5SbCl2O4
Source: the Alexandria database
Functional: PBE
Structure: optimized geometry Values from VASP.

Structure (Quantum ESPRESSO input):
```
&SYSTEM
  ibrav = 0, nat = 12, ntyp = 4
/
ATOMIC_SPECIES
Cs 132.91 Cs.upf
Sb 121.76 Sb.upf
Cl 35.45 Cl.upf
O 16.00 O.upf
CELL_PARAMETERS angstrom
9.295 0.000 0.000
0.000 5.657 3.682
0.000 -5.657 3.682
ATOMIC_POSITIONS angstrom
Cs 0.000 0.000 0.000
Cs 2.718 -2.030 3.013
Cs 2.718 2.030 3.013
Cs 6.577 -2.030 3.013
Cs 6.577 2.030 3.013
Sb 4.647 0.000 6.814
Cl 0.000 -2.360 4.969
Cl 0.000 2.360 4.969
O 3.107 0.000 0.614
O 4.647 -1.566 5.696
O 4.647 1.566 5.696
O 6.188 0.000 0.614
```

Symmetry: Amm2, No. 38
Formation energy from raw total energies (eV/atom): -1.648

No. 3
Compound: CaTiPb2Cl
Source: the Alexandria database
Functional: PBE
Structure: optimized geometry Values from VASP.

Structure (Quantum ESPRESSO input):
```
&SYSTEM
  ibrav = 0, nat = 5, ntyp = 4
/
ATOMIC_SPECIES
Ca 40.08 Ca.upf
Ti 47.87 Ti.upf
Pb 207.20 Pb.upf
Cl 35.45 Cl.upf
CELL_PARAMETERS angstrom
5.906 0.000 0.000
0.000 5.906 0.000
0.000 0.000 4.949
ATOMIC_POSITIONS angstrom
Ca 0.000 0.000 0.000
Ti 0.000 0.000 2.474
Pb 0.000 2.953 0.000
Pb 2.953 0.000 0.000
Cl 2.953 2.953 2.474
```

Symmetry: P4/mmm, No. 123
Formation energy from raw total energies (eV/atom): 0.922

No. 4
Compound: HfCuRu3
Source: the Alexandria database
Functional: PBE
Structure: optimized geometry Values from VASP.

Structure (Quantum ESPRESSO input):
```
&SYSTEM
  ibrav = 0, nat = 5, ntyp = 3
/
ATOMIC_SPECIES
Hf 178.49 Hf.upf
Cu 63.55 Cu.upf
Ru 101.07 Ru.upf
CELL_PARAMETERS angstrom
4.755 0.000 0.000
0.000 4.755 0.000
0.000 0.000 4.755
ATOMIC_POSITIONS angstrom
Hf 0.000 0.000 0.000
Cu 2.377 2.377 2.377
Ru 0.000 0.000 2.377
Ru 0.000 2.377 0.000
Ru 2.377 0.000 0.000
```

Symmetry: Pm-3m, No. 221
Calculated formation energy (eV per atom): 1.720

No. 5
Compound: K2LiTbF6
Source: the Alexandria database
Functional: PBE
Structure: optimized geometry Values from VASP.

Structure (Quantum ESPRESSO input):
```
&SYSTEM
  ibrav = 0, nat = 20, ntyp = 4
/
ATOMIC_SPECIES
K 39.10 K.upf
Li 6.94 Li.upf
Tb 158.93 Tb.upf
F 19.00 F.upf
CELL_PARAMETERS angstrom
6.044 0.000 0.000
0.000 6.042 0.000
-6.023 0.000 8.570
ATOMIC_POSITIONS angstrom
K -0.010 0.106 2.135
K -3.022 2.916 6.420
K 3.043 3.127 2.150
K 0.031 5.937 6.435
Li -3.012 0.000 4.285
Li 0.000 3.021 0.000
Tb 3.022 0.000 0.000
Tb 0.010 3.021 4.285
F -4.717 1.357 8.370
F -1.705 1.664 4.085
F -4.360 4.328 8.369
F -1.348 4.735 4.084
F -2.732 0.048 6.391
F 0.280 2.974 2.106
F -0.259 3.069 6.464
F 2.752 5.995 2.179
F 1.369 1.307 4.486
F 4.381 1.714 0.201
F 1.726 4.379 4.484
F 4.737 4.685 0.199
```

Symmetry: P2_1/c, No. 14
Formation energy from raw total energies (eV/atom): -3.348

No. 6
Compound: NdEr12Sc7
Source: the Alexandria database
Functional: PBE
Structure: optimized geometry Values from VASP.

Structure (Quantum ESPRESSO input):
```
&SYSTEM
  ibrav = 0, nat = 20, ntyp = 3
/
ATOMIC_SPECIES
Nd 144.24 Nd.upf
Er 167.26 Er.upf
Sc 44.96 Sc.upf
CELL_PARAMETERS angstrom
-5.448 5.448 5.448
5.448 -5.448 5.448
5.448 5.448 -5.448
ATOMIC_POSITIONS angstrom
Nd 0.000 0.000 0.000
Er 5.448 -2.568 2.584
Er 2.880 2.864 0.000
Er 8.016 2.864 0.000
Er 2.584 5.448 -2.568
Er 2.864 0.000 2.880
Er 5.448 2.568 2.584
Er 0.000 2.880 2.864
Er 2.584 5.448 2.568
Er 2.864 0.000 8.016
Er -2.568 2.584 5.448
Er 2.568 2.584 5.448
Er 0.000 8.016 2.864
Sc 2.724 2.724 -2.724
Sc 2.724 -2.724 2.724
Sc 5.448 0.000 0.000
Sc -2.724 2.724 2.724
Sc 0.000 5.448 0.000
Sc 0.000 0.000 5.448
Sc 2.724 2.724 2.724
```

Symmetry: Im-3, No. 204
Calculated formation energy (eV per atom): 0.681

No. 7
Compound: LiSc2In
Source: the Alexandria database
Functional: PBE
Structure: optimized geometry Values from VASP.

Structure (Quantum ESPRESSO input):
```
&SYSTEM
  ibrav = 0, nat = 4, ntyp = 3
/
ATOMIC_SPECIES
Li 6.94 Li.upf
Sc 44.96 Sc.upf
In 114.82 In.upf
CELL_PARAMETERS angstrom
5.631 -1.741 0.000
5.631 1.741 0.000
-2.173 0.000 4.452
ATOMIC_POSITIONS angstrom
Li 0.000 0.000 0.000
Sc 4.794 0.000 2.347
Sc 7.993 0.000 1.157
In 1.564 0.000 3.525
```

Symmetry: Cm, No. 8
Calculated formation energy (eV per atom): -0.154

No. 8
Compound: Li2TcSe
Source: the Alexandria database
Functional: PBE
Structure: optimized geometry Values from VASP.

Structure (Quantum ESPRESSO input):
```
&SYSTEM
  ibrav = 0, nat = 8, ntyp = 3
/
ATOMIC_SPECIES
Li 6.94 Li.upf
Tc 98.00 Tc.upf
Se 78.96 Se.upf
CELL_PARAMETERS angstrom
-3.655 3.655 2.397
3.655 -3.655 2.397
3.655 3.655 -2.397
ATOMIC_POSITIONS angstrom
Li 1.828 1.579 -0.599
Li 2.076 -1.828 2.996
Li 1.828 2.076 1.798
Li 1.579 5.483 0.599
Tc 3.655 0.000 1.198
Tc 0.000 0.000 2.397
Se 0.000 0.000 0.000
Se 0.000 3.655 1.198
```

Symmetry: I-42d, No. 122
Formation energy from raw total energies (eV/atom): 0.126

No. 9
Compound: Rb6Au3F
Source: the Alexandria database
Functional: PBE
Structure: optimized geometry Values from VASP.

Structure (Quantum ESPRESSO input):
```
&SYSTEM
  ibrav = 0, nat = 20, ntyp = 3
/
ATOMIC_SPECIES
Rb 85.47 Rb.upf
Au 196.97 Au.upf
F 19.00 F.upf
CELL_PARAMETERS angstrom
6.765 -8.411 0.000
6.765 8.411 0.000
0.000 0.000 8.252
ATOMIC_POSITIONS angstrom
Rb 6.765 7.643 4.126
Rb 4.704 3.992 3.936
Rb 6.765 4.704 7.843
Rb 4.539 0.391 7.927
Rb 4.539 -0.391 3.801
Rb 8.826 3.992 3.936
Rb 4.704 -3.992 8.062
Rb 8.991 0.391 7.927
Rb 8.991 -0.391 3.801
Rb 6.765 -4.704 3.717
Rb 8.826 -3.992 8.062
Rb 6.765 -7.643 0.000
Au 2.299 1.731 5.574
Au 2.299 -1.731 1.448
Au 6.765 1.798 2.036
Au 6.765 -1.798 6.162
Au 11.230 1.731 5.574
Au 11.230 -1.731 1.448
F 6.765 5.171 5.190
F 6.765 -5.171 1.064
```

Symmetry: Cmc2_1, No. 36
Formation energy from raw total energies (eV/atom): -0.674

No. 10
Compound: NbB
Source: the Alexandria database
Functional: PBE
Structure: optimized geometry Values from VASP.

Structure (Quantum ESPRESSO input):
```
&SYSTEM
  ibrav = 0, nat = 4, ntyp = 2
/
ATOMIC_SPECIES
Nb 92.91 Nb.upf
B 10.81 B.upf
CELL_PARAMETERS angstrom
3.423 0.000 0.000
-1.712 2.965 0.000
0.000 0.000 4.884
ATOMIC_POSITIONS angstrom
Nb 0.000 1.976 1.221
Nb 1.712 0.988 3.663
B 0.000 0.000 0.000
B 0.000 0.000 2.442
```

Symmetry: P6_3/mmc, No. 194
Calculated formation energy (eV per atom): -0.581

No. 11
Compound: Ca2NdPb
Source: the Alexandria database
Functional: PBE
Structure: optimized geometry Values from VASP.

Structure (Quantum ESPRESSO input):
```
&SYSTEM
  ibrav = 0, nat = 4, ntyp = 3
/
ATOMIC_SPECIES
Ca 40.08 Ca.upf
Nd 144.24 Nd.upf
Pb 207.20 Pb.upf
CELL_PARAMETERS angstrom
0.000 4.024 4.024
4.024 0.000 4.024
4.024 4.024 0.000
ATOMIC_POSITIONS angstrom
Ca 2.012 2.012 2.012
Ca 6.036 6.036 6.036
Nd 0.000 0.000 0.000
Pb 4.024 4.024 4.024
```

Symmetry: Fm-3m, No. 225
Calculated formation energy (eV per atom): -0.072

No. 12
Compound: CrSnSe2Br
Source: the Alexandria database
Functional: PBE
Structure: optimized geometry Values from VASP.

Structure (Quantum ESPRESSO input):
```
&SYSTEM
  ibrav = 0, nat = 5, ntyp = 4
/
ATOMIC_SPECIES
Cr 52.00 Cr.upf
Sn 118.71 Sn.upf
Se 78.96 Se.upf
Br 79.90 Br.upf
CELL_PARAMETERS angstrom
4.994 0.000 0.000
0.000 4.994 0.000
0.000 0.000 4.968
ATOMIC_POSITIONS angstrom
Cr 0.000 0.000 0.000
Sn 2.497 2.497 2.484
Se 0.000 2.497 0.000
Se 2.497 0.000 0.000
Br 0.000 0.000 2.484
```

Symmetry: P4/mmm, No. 123
Formation energy from raw total energies (eV/atom): -0.164